# 1
# LiZnCdIn

A relaxed LiZnCdIn crystal (PBE-GGA, Alexandria).

## Properties
Formation enthalpy at 0 K (eV/atom): -0.12
Total moment (μB/f.u.): 0.00
Calculated density (Mg/m³): 6.46

Geometry as POSCAR:
```
LiZnCdIn
1.0
-2.255 2.255 3.784
2.255 -2.255 3.784
2.255 2.255 -3.784
Li Zn Cd In
1 1 1 1
direct
0.000 0.000 0.000
0.500 0.500 0.000
0.250 0.750 0.500
0.750 0.250 0.500
```

# 2
# Pm6PrNd5

A relaxed Pm6PrNd5 crystal (PBE-GGA, Alexandria).

## Properties
Formation enthalpy at 0 K (eV/atom): 0.01
Total moment (μB/f.u.): 0.00
Calculated density (Mg/m³): 6.86

Geometry as POSCAR:
```
Pm6PrNd5
1.0
3.180 -5.511 0.000
3.180 5.511 0.000
-2.141 0.000 11.967
Pm Pr Nd
6 1 5
direct
0.084 0.417 0.750
0.249 0.249 0.250
0.417 0.084 0.750
0.583 0.916 0.250
0.751 0.751 0.750
0.916 0.583 0.250
0.500 0.500 0.000
0.000 0.000 0.500
0.167 0.833 0.000
0.333 0.667 0.500
0.667 0.333 0.500
0.833 0.167 0.000
```

# 3
# NbVFeW2

A relaxed NbVFeW2 crystal (PBE-GGA, Alexandria).

## Properties
Formation enthalpy at 0 K (eV/atom): 1.76
Total moment (μB/f.u.): 0.00
Calculated density (Mg/m³): 10.37

Geometry as POSCAR:
```
NbVFeW2
1.0
4.475 0.000 0.000
0.000 4.475 0.000
0.000 0.000 4.538
Nb V Fe W
1 1 1 2
direct
0.000 0.000 0.000
0.000 0.000 0.500
0.500 0.500 0.000
0.000 0.500 0.500
0.500 0.000 0.500
```

# 4
# BaGaSi2Tc

A relaxed BaGaSi2Tc crystal (PBE-GGA, Alexandria).

## Properties
Total moment (μB/f.u.): 0.00
Calculated density (Mg/m³): 5.42
Formation energy from raw total energies (eV per atom): -0.23

Geometry as POSCAR:
```
BaGaSi2Tc
1.0
4.743 0.000 0.000
0.000 4.743 0.000
0.000 0.000 4.918
Ba Ga Si Tc
1 1 2 1
direct
0.000 0.000 0.000
0.500 0.500 0.000
0.000 0.500 0.500
0.500 0.000 0.500
0.500 0.500 0.500
```

no.,volume (Å³ per atom)
1,19.25
2,34.95
3,18.17
4,22.13